Record 1
DFT (PBE) results for a geometry-optimized Cu2Au2I structure.

a b c (Å): 7.2157 7.2157 3.5967
angles (deg): 90.00 90.00 90.00
With the nearest neighbours (Å) after each atom.
Positions (direct):
Au  0.1415  0.6415  0.5000  6 Cu 2.73-2.85, 1 Au 2.89
Au  0.6415  0.8585  0.5000  6 Cu 2.73-2.85, 1 Au 2.89
Au  0.8585  0.3585  0.5000  6 Cu 2.73-2.85, 1 Au 2.89
Au  0.3585  0.1415  0.5000  6 Cu 2.73-2.85, 1 Au 2.89
I  0.5000  0.5000  0.0000  4 Cu 2.78
I  0.0000  0.0000  0.0000  4 Cu 2.78
Cu  0.6424  0.1424  0.0000  6 Au 2.73-2.85, 2 I 2.78, 1 Cu 2.91
Cu  0.1424  0.3576  0.0000  6 Au 2.73-2.85, 2 I 2.78, 1 Cu 2.91
Cu  0.3576  0.8576  0.0000  6 Au 2.73-2.85, 2 I 2.78, 1 Cu 2.91
Cu  0.8576  0.6424  0.0000  6 Au 2.73-2.85, 2 I 2.78, 1 Cu 2.91

Output
VASP energy: -3.00 eV per atom
D(E_F): 2.0 states/eV/f.u.
energy above the most stable polymorph in this dataset: 0.000 eV per atom
magnetic moment: 0.00 μB per formula unit
energy relative to the elements, uncorrected: 0.260 eV per atom



Record 2
DFT (PBE) results for a geometry-optimized CuAu2I structure.

a b c (Å): 3.9573 3.9573 11.2613
angles (deg): 79.88 79.88 90.00
With the nearest neighbours (Å) after each atom.
Positions (direct):
I  0.7500  0.2500  0.5000  4 Cu 2.80, 4 Au 3.08
I  0.0000  0.0000  0.0000  4 Cu 2.80, 4 Au 3.08
Au  0.1347  0.6250  0.2500  4 Au 2.74-2.85, 2 Cu 3.05
Au  0.8750  0.8653  0.7500  4 Au 2.74-2.85, 2 Cu 3.05
Au  0.6153  0.1250  0.2500  4 Au 2.74-2.85, 2 Cu 3.05
Au  0.3750  0.3847  0.7500  4 Au 2.74-2.85, 2 Cu 3.05
Cu  0.2500  0.7500  0.5000  4 I 2.80, 4 Au 3.05
Cu  0.5000  0.5000  0.0000  4 I 2.80, 4 Au 3.05

Output
VASP energy: -2.73 eV per atom
D(E_F): 1.3 states/eV/f.u.
energy above the most stable polymorph in this dataset: 0.000 eV per atom
magnetic moment: 0.00 μB per formula unit
energy relative to the elements, uncorrected: 0.320 eV per atom



Record 3
DFT (PBE) results for a geometry-optimized CuAu2I structure.

a b c (Å): 4.8786 4.8786 4.8786
angles (deg): 60.00 60.00 60.00
With the nearest neighbours (Å) after each atom.
Positions (direct):
Cu  0.0000  0.0000  0.0000  8 Au 2.99
Au  0.7500  0.7500  0.7500  4 I 2.99, 4 Cu 2.99
Au  0.2500  0.2500  0.2500  4 I 2.99, 4 Cu 2.99
I  0.5000  0.5000  0.5000  8 Au 2.99

Output
VASP energy: -2.50 eV per atom
D(E_F): 0.7 states/eV/f.u.
energy above the most stable polymorph in this dataset: 0.229 eV per atom
magnetic moment: 0.00 μB per formula unit
energy relative to the elements, uncorrected: 0.549 eV per atom



Record 4
DFT (PBE) results for a geometry-optimized CuAuI3 structure.

a b c (Å): 4.1379 8.3287 11.0079
angles (deg): 95.46 90.00 104.38
With the nearest neighbours (Å) after each atom.
Positions (direct):
I  0.1391  0.2782  0.0876  1 Cu 2.68, 2 Au 2.81
I  0.3685  0.7369  0.5908  2 Cu 2.56
I  0.0913  0.1827  0.7418  1 Cu 2.59, 2 Au 2.81
I  0.9087  0.8173  0.2582  1 Cu 2.59, 2 Au 2.81
I  0.8609  0.7218  0.9124  1 Cu 2.68, 2 Au 2.81
I  0.6315  0.2631  0.4092  2 Cu 2.56
Cu  0.0694  0.1387  0.2984  4 I 2.56-2.68
Cu  0.9306  0.8613  0.7016  4 I 2.56-2.68
Au  0.6166  0.2333  0.9146  4 I 2.81
Au  0.3834  0.7667  0.0854  4 I 2.81

Output
VASP energy: -2.47 eV per atom
D(E_F): 3.2 states/eV/f.u.
energy above the most stable polymorph in this dataset: 0.000 eV per atom
magnetic moment: 0.00 μB per formula unit
energy relative to the elements, uncorrected: -0.065 eV per atom



Record 5
DFT (PBE) results for a geometry-optimized Cu5AuI12 structure.

a b c (Å): 7.1251 7.1251 14.5013
angles (deg): 89.89 89.89 124.04
With the nearest neighbours (Å) after each atom.
Positions (direct):
I  0.6795  0.6795  0.8875  1 Au 2.70, 2 Cu 2.94
I  0.4777  0.1442  0.3905  2 Cu 2.61-2.92
I  0.9736  0.6289  0.1135  2 Cu 2.61-2.90
I  0.1442  0.4777  0.3905  2 Cu 2.61-2.92
I  0.8558  0.5223  0.6095  2 Cu 2.61-2.92
I  0.1889  0.1889  0.6093  3 Cu 2.61-2.91
I  0.8111  0.8111  0.3907  3 Cu 2.61-2.91
I  0.0264  0.3711  0.8865  2 Cu 2.61-2.90
I  0.5223  0.8558  0.6095  2 Cu 2.61-2.92
I  0.3711  0.0264  0.8865  2 Cu 2.61-2.90
I  0.6289  0.9736  0.1135  2 Cu 2.61-2.90
I  0.3205  0.3205  0.1125  1 Au 2.70, 2 Cu 2.94
Cu  0.1657  0.8343  0.5000  4 I 2.61-2.91
Cu  0.3299  0.6701  0.0000  4 I 2.61-2.90
Cu  0.8343  0.1657  0.5000  4 I 2.61-2.91
Cu  0.6701  0.3299  0.0000  4 I 2.61-2.90
Cu  0.5000  0.5000  0.5000  6 I 2.61-2.92
Au  0.0000  0.0000  0.0000  2 I 2.70

Output
VASP energy: -2.36 eV per atom
D(E_F): 24.8 states/eV/f.u.
magnetic moment: 0.00 μB per formula unit
energy relative to the elements, uncorrected: -0.006 eV per atom



Record 6
DFT (PBE) results for a geometry-optimized Cu2AuI6 structure.

a b c (Å): 7.5194 10.3261 10.3261
angles (deg): 75.83 68.87 68.87
With the nearest neighbours (Å) after each atom.
Positions (direct):
Au  0.2500  0.1819  0.8181  4 I 2.69-2.70
Au  0.7500  0.8181  0.1819  4 I 2.69-2.70
I  0.3518  0.9471  0.2640  1 Cu 2.59, 1 Au 2.70
I  0.4169  0.3687  0.3243  2 Cu 2.55-2.65
I  0.1980  0.0472  0.6488  1 Cu 2.67, 1 Au 2.69
I  0.9169  0.3243  0.3687  2 Cu 2.55-2.65
I  0.8020  0.9528  0.3512  1 Cu 2.67, 1 Au 2.69
I  0.6482  0.0529  0.7360  1 Cu 2.59, 1 Au 2.70
I  0.6980  0.6488  0.0472  1 Cu 2.67, 1 Au 2.69
I  0.3020  0.3512  0.9528  1 Cu 2.67, 1 Au 2.69
I  0.1482  0.7360  0.0529  1 Cu 2.59, 1 Au 2.70
I  0.8518  0.2640  0.9471  1 Cu 2.59, 1 Au 2.70
I  0.5831  0.6313  0.6757  2 Cu 2.55-2.65
I  0.0831  0.6757  0.6313  2 Cu 2.55-2.65
Cu  0.7770  0.3817  0.1637  4 I 2.55-2.67
Cu  0.2230  0.6183  0.8363  4 I 2.55-2.67
Cu  0.7230  0.8363  0.6183  4 I 2.55-2.67
Cu  0.2770  0.1637  0.3817  4 I 2.55-2.67

Output
VASP energy: -2.38 eV per atom
D(E_F): 6.8 states/eV/f.u.
energy above the most stable polymorph in this dataset: 0.000 eV per atom
magnetic moment: 0.00 μB per formula unit
energy relative to the elements, uncorrected: -0.068 eV per atom



Record 7
DFT (PBE) results for a geometry-optimized CuAuI2 structure.

a b c (Å): 6.3310 6.3310 7.6719
angles (deg): 65.63 65.63 90.00
With the nearest neighbours (Å) after each atom.
Positions (direct):
Au  0.0000  0.0000  0.0000  4 I 2.83
Au  0.7500  0.2500  0.5000  4 I 2.83
Cu  0.5000  0.5000  0.0000  4 I 2.63
Cu  0.2500  0.7500  0.5000  4 I 2.63
I  0.8750  0.8483  0.7500  2 Cu 2.63, 2 Au 2.83
I  0.5983  0.1250  0.2500  2 Cu 2.63, 2 Au 2.83
I  0.1517  0.6250  0.2500  2 Cu 2.63, 2 Au 2.83
I  0.3750  0.4017  0.7500  2 Cu 2.63, 2 Au 2.83

Output
VASP energy: -2.66 eV per atom
D(E_F): 0.0 states/eV/f.u.
energy above the most stable polymorph in this dataset: 0.018 eV per atom
magnetic moment: 0.00 μB per formula unit
energy relative to the elements, uncorrected: -0.037 eV per atom



Record 8
DFT (PBE) results for a geometry-optimized CuAu2I4 structure.

a b c (Å): 6.3533 6.3533 7.5999
angles (deg): 114.71 114.71 90.00
With the nearest neighbours (Å) after each atom.
Positions (direct):
I  0.8584  0.3720  0.2304  1 Cu 2.60, 2 Au 2.79
I  0.3720  0.8584  0.2304  1 Cu 2.60, 2 Au 2.79
I  0.1416  0.1416  0.7696  1 Cu 2.60, 2 Au 2.79
I  0.6280  0.6280  0.7696  1 Cu 2.60, 2 Au 2.79
Cu  0.5000  0.5000  0.0000  4 I 2.60
Au  0.2500  0.7500  0.5000  4 I 2.79
Au  0.7500  0.2500  0.5000  4 I 2.79

Output
VASP energy: -2.46 eV per atom
D(E_F): 6.1 states/eV/f.u.
energy above the most stable polymorph in this dataset: 0.000 eV per atom
magnetic moment: 0.00 μB per formula unit
energy relative to the elements, uncorrected: -0.050 eV per atom



Record 9
DFT (PBE) results for a geometry-optimized Cu2AuI2 structure.

a b c (Å): 5.4632 5.4632 5.5384
angles (deg): 60.45 60.45 90.00
With the nearest neighbours (Å) after each atom.
Positions (direct):
I  0.2500  0.7500  0.5000  4 Cu 2.80
I  0.7500  0.2500  0.5000  4 Cu 2.80
Cu  0.3282  0.3282  0.3436  1 Au 2.60, 1 Cu 2.73, 4 I 2.80
Cu  0.6718  0.6718  0.6564  1 Au 2.60, 1 Cu 2.73, 4 I 2.80
Au  0.0000  0.0000  0.0000  2 Cu 2.60

Output
VASP energy: -2.53 eV per atom
D(E_F): 2.4 states/eV/f.u.
energy above the most stable polymorph in this dataset: 0.014 eV per atom
magnetic moment: 0.00 μB per formula unit
energy relative to the elements, uncorrected: 0.385 eV per atom



Record 10
DFT (PBE) results for a geometry-optimized CuAu2I4 structure.

a b c (Å): 6.7939 6.1677 6.1677
angles (deg): 90.00 90.00 90.00
With the nearest neighbours (Å) after each atom.
Positions (direct):
Au  0.0000  0.5000  0.0000  4 I 2.79, 2 Cu 3.08
Au  0.0000  0.0000  0.5000  4 I 2.79, 2 Cu 3.08
I  0.7435  0.2375  0.2375  1 Cu 2.71, 2 Au 2.79
I  0.2565  0.2375  0.7625  1 Cu 2.71, 2 Au 2.79
I  0.7435  0.7625  0.7625  1 Cu 2.71, 2 Au 2.79
I  0.2565  0.7625  0.2375  1 Cu 2.71, 2 Au 2.79
Cu  0.0000  0.0000  0.0000  4 I 2.71

Output
VASP energy: -2.41 eV per atom
D(E_F): 7.5 states/eV/f.u.
energy above the most stable polymorph in this dataset: 0.048 eV per atom
magnetic moment: 0.00 μB per formula unit
energy relative to the elements, uncorrected: -0.002 eV per atom



Record 11
DFT (PBE) results for a geometry-optimized Cu2AuI5 structure.

a b c (Å): 5.5396 7.7570 14.9615
angles (deg): 90.00 90.00 112.32
With the nearest neighbours (Å) after each atom.
Positions (direct):
Au  0.6943  0.8626  0.7500  3 I 2.65-2.70
Au  0.3057  0.1374  0.2500  3 I 2.65-2.70
I  0.3028  0.5972  0.0539  3 Cu 2.61-2.82
I  0.7506  0.4320  0.2500  1 Au 2.65, 2 Cu 2.75
I  0.6972  0.4028  0.5539  3 Cu 2.61-2.82
I  0.3028  0.5972  0.4461  3 Cu 2.61-2.82
I  0.2494  0.5680  0.7500  1 Au 2.65, 2 Cu 2.75
I  0.6972  0.4028  0.9461  3 Cu 2.61-2.82
I  0.9826  0.9707  0.1139  1 Cu 2.60, 1 Au 2.70
I  0.0174  0.0293  0.6139  1 Cu 2.60, 1 Au 2.70
I  0.0174  0.0293  0.8861  1 Cu 2.60, 1 Au 2.70
I  0.9826  0.9707  0.3861  1 Cu 2.60, 1 Au 2.70
Cu  0.8124  0.6134  0.4117  5 I 2.60-2.82
Cu  0.1876  0.3866  0.5883  5 I 2.60-2.82
Cu  0.8124  0.6134  0.0883  5 I 2.60-2.82
Cu  0.1876  0.3866  0.9117  5 I 2.60-2.82

Output
VASP energy: -2.44 eV per atom
D(E_F): 3.3 states/eV/f.u.
magnetic moment: 0.00 μB per formula unit
energy relative to the elements, uncorrected: -0.036 eV per atom



Record 12
DFT (PBE) results for a geometry-optimized Cu2Au2I7 structure.

a b c (Å): 9.0927 7.2591 7.2591
angles (deg): 101.21 98.89 98.89
With the nearest neighbours (Å) after each atom.
Positions (direct):
I  0.0277  0.3041  0.3041  2 Cu 2.66, 1 Au 2.86
I  0.2563  0.8847  0.3591  1 Cu 2.56, 1 Au 2.66
I  0.7437  0.1153  0.6409  1 Cu 2.56, 1 Au 2.66
I  0.5000  0.0000  0.0000  2 Au 2.83
I  0.7437  0.6409  0.1153  1 Cu 2.56, 1 Au 2.66
I  0.2563  0.3591  0.8847  1 Cu 2.56, 1 Au 2.66
I  0.9723  0.6959  0.6959  2 Cu 2.66, 1 Au 2.86
Au  0.2474  0.1282  0.1282  4 I 2.66-2.86
Au  0.7526  0.8718  0.8718  4 I 2.66-2.86
Cu  0.0000  0.6673  0.3327  4 I 2.56-2.66
Cu  0.0000  0.3327  0.6673  4 I 2.56-2.66

Output
VASP energy: -2.40 eV per atom
D(E_F): 9.5 states/eV/f.u.
energy above the most stable polymorph in this dataset: 0.000 eV per atom
magnetic moment: 0.00 μB per formula unit
energy relative to the elements, uncorrected: -0.072 eV per atom